Version w
This record from Alexandria via LeMat-Bulk describes an optimized crystal structure of VNiP2Cl. The functional is PBE-GGA.

Cell: 4.3034 4.3034 4.8490 Å, 90.00 90.00 90.00°
Site moments in Bohr magnetons follow the coordinates.
Fractional coordinates of all 5 atoms:
P: 0.0000 0.5000 0.0000  0.16
Cl: 0.0000 0.0000 0.5000  0.10
Ni: 0.0000 0.0000 0.0000  0.21
V: 0.5000 0.5000 0.5000  -2.73
P: 0.5000 0.0000 0.0000  0.16

---

Version x
This record from Alexandria via LeMat-Bulk describes an optimized crystal structure of VNiP2Cl. The functional is PBE-GGA.

Cell: 4.5109 4.5109 4.7010 Å, 90.00 90.00 90.00°
Site moments in Bohr magnetons follow the coordinates.
Fractional coordinates of all 5 atoms:
P: 0.0000 0.5000 0.0000  0.01
Ni: 0.5000 0.5000 0.5000  0.71
Cl: 0.0000 0.0000 0.5000  0.06
P: 0.5000 0.0000 0.0000  0.01
V: 0.0000 0.0000 0.0000  -0.04

---

Stability check: which of them is most stable? version w.

---

Version w
This record from Alexandria via LeMat-Bulk describes an optimized crystal structure of NiPWCl2. The functional is PBE-GGA.

Cell: 4.3519 4.3519 4.8640 Å, 90.00 90.00 90.00°
Site moments in Bohr magnetons follow the coordinates.
Fractional coordinates of all 5 atoms:
Cl: 0.0000 0.5000 0.0000  -0.01
Cl: 0.5000 0.0000 0.0000  -0.01
P: 0.0000 0.0000 0.5000  -0.19
W: 0.5000 0.5000 0.5000  2.76
Ni: 0.0000 0.0000 0.0000  -0.08

---

Version x
This record from Alexandria via LeMat-Bulk describes an optimized crystal structure of NiPWCl2. The functional is PBE-GGA.

Cell: 4.7131 4.7131 4.8187 Å, 90.00 90.00 90.00°
Site moments in Bohr magnetons follow the coordinates.
Fractional coordinates of all 5 atoms:
W: 0.0000 0.0000 0.0000  -0.13
P: 0.0000 0.0000 0.5000  0.00
Cl: 0.0000 0.5000 0.0000  0.00
Cl: 0.5000 0.0000 0.0000  0.00
Ni: 0.5000 0.5000 0.5000  0.80

---

Stability check: which of them is most stable? version x.

---

Version w
This record from Alexandria via LeMat-Bulk describes an optimized crystal structure of YNiPCl2. The functional is PBE-GGA.

Cell: 4.4435 4.4435 4.9364 Å, 90.00 90.00 90.00°
Fractional coordinates of all 5 atoms:
Ni: 0.0000 0.0000 0.0000
P: 0.0000 0.0000 0.5000
Cl: 0.5000 0.0000 0.0000
Cl: 0.0000 0.5000 0.0000
Y: 0.5000 0.5000 0.5000

---

Version x
This record from Alexandria via LeMat-Bulk describes an optimized crystal structure of YNiPCl2. The functional is PBE-GGA.

Cell: 5.1115 5.1115 5.6516 Å, 90.00 90.00 90.00°
Site moments in Bohr magnetons follow the coordinates.
Fractional coordinates of all 5 atoms:
Y: 0.0000 0.0000 0.0000  0.02
P: 0.0000 0.0000 0.5000  0.28
Ni: 0.5000 0.5000 0.5000  1.10
Cl: 0.5000 0.0000 0.0000  0.02
Cl: 0.0000 0.5000 0.0000  0.02

---

Stability check: which of them is most stable? version w.